Record 1
Below is a geometry-optimized LaScH2 structure, with properties calculated at the PBE level.

Cell lengths 5.148, 5.148, 10.174 Å; angles 90.00, 90.00, 90.00 degrees
Space group I-42d (No. 122)
Unique sites:
1 La 0.000 0.000 0.000 [4 per cell]
2 Sc 0.000 0.000 0.500 [4 per cell]
3 H 0.198 0.250 0.625 [8 per cell]

Results
Relative energy among the computed polymorphs (eV/f.u.): 0.047

=====

Record 2
Below is a geometry-optimized La2ScH4 structure, with properties calculated at the PBE level.

Cell lengths 3.871, 3.871, 13.589 Å; angles 90.00, 90.00, 90.00 degrees
Space group I4/mmm (No. 139)
Unique sites:
1 La 0.000 0.000 0.159 [4 per cell]
2 Sc 0.000 0.000 0.500 [2 per cell]
3 H 0.000 0.000 0.344 [4 per cell]
4 H 0.000 0.500 0.000 [4 per cell]

Results
E (eV/atom): -4.617

=====

Record 3
Below is a geometry-optimized LaScH2 structure, with properties calculated at the PBE level.

Cell lengths 3.3768, 3.3768, 17.7425 Å; angles 90.00, 90.00, 120.00 degrees
Space group R3m (No. 160, hexagonal axes)
Unique sites:
1 La 0.0000 0.0000 0.0000 [3 per cell]
2 Sc 0.0000 0.0000 0.1737 [3 per cell]
3 H 0.0000 0.0000 0.5672 [3 per cell]
4 H 0.0000 0.0000 0.7852 [3 per cell]

Results
Relative energy among the computed polymorphs (eV/f.u.): 0.195

=====

Record 4
Below is a geometry-optimized LaScH3 structure, with properties calculated at the PBE level.

Cell lengths 4.028, 4.028, 4.028 Å; angles 90.00, 90.00, 90.00 degrees
Space group Pm-3m (No. 221)
Unique sites:
1 La 0.000 0.000 0.000 [1 per cell]
2 Sc 0.500 0.500 0.500 [1 per cell]
3 H 0.000 0.500 0.500 [3 per cell]

Results
Relative energy among the computed polymorphs (eV/f.u.): 0.000

=====

Record 5
Below is a geometry-optimized La2ScSnH structure, with properties calculated at the PBE level.

Cell lengths 4.906, 4.906, 4.880 Å; angles 90.00, 90.00, 90.00 degrees
Space group P4/mmm (No. 123)
Unique sites:
1 La 0.000 0.500 0.000 [2 per cell]
2 Sc 0.000 0.000 0.500 [1 per cell]
3 Sn 0.500 0.500 0.500 [1 per cell]
4 H 0.000 0.000 0.000 [1 per cell]

Results
E (eV/atom): -5.190

=====

Record 6
Below is a geometry-optimized SrLa2ScH structure, with properties calculated at the PBE level.

Cell lengths 5.319, 5.319, 4.986 Å; angles 90.00, 90.00, 90.00 degrees
Space group P4/mmm (No. 123)
Unique sites:
1 Sr 0.000 0.000 0.000 [1 per cell]
2 La 0.000 0.500 0.500 [2 per cell]
3 Sc 0.500 0.500 0.000 [1 per cell]
4 H 0.500 0.500 0.500 [1 per cell]

Results
Relative energy among the computed polymorphs (eV/f.u.): 0.053

=====

| no. | D(E_F) (states/eV/f.u.) | magnetization (μB per cell) |
| --- | --- | --- |
| 1 | 3.37 | 0.0 |
| 2 | 3.94 | 0.0 |
| 3 | 2.51 | 0.0 |
| 4 | 2.71 | 1.5 |
| 5 | 6.13 | 0.0 |
| 6 | 5.82 | 0.0 |